(1)
Computed, not measured: CuP3 after structural relaxation at the PBE level of DFT.

```
CuP3
1.0
2.5105 0.0000 0.0000
0.0000 3.3664 0.0000
0.0000 0.0000 6.8655
Cu P
1 3
Cartesian
0.0000 0.0000 0.0000 Cu
0.0000 1.6832 5.1472 P
0.0000 0.0000 3.4327 P
0.0000 1.6832 1.7182 P
```

Calculated values
- E above lowest polymorph (kJ/mol of formula units) = 9
- E_form (eV per atom) = 0.18

---

(2)
Computed, not measured: Cu2P3 after structural relaxation at the PBE level of DFT.

```
Cu2P3
1.0
1.6215 -2.8085 0.0000
1.6215 2.8085 0.0000
0.0000 0.0000 8.1074
Cu P
2 3
Cartesian
1.6215 -0.9362 1.5076 Cu
1.6215 0.9362 6.5999 Cu
0.0000 0.0000 0.0000 P
1.6215 -0.9362 4.7400 P
1.6215 0.9362 3.3674 P
```

Calculated values
- E_form (eV per atom) = 0.26

---

(3)
Computed, not measured: CuP after structural relaxation at the PBE level of DFT.

```
CuP
1.0
4.7783 -0.0093 0.0191
-3.0729 5.6130 -0.1251
1.6193 3.2311 0.9865
P Cu
1 1
Cartesian
1.1246 6.7339 0.7667 P
3.5138 6.7313 0.7757 Cu
```

Calculated values
- E_form (eV per atom) = 0.19

---

(4)
Computed, not measured: CuP after structural relaxation at the PBE level of DFT.

```
CuP
1.0
3.8631 0.0000 0.0000
0.0000 9.5754 0.0000
0.0000 0.0000 3.2415
Cu P
4 4
Cartesian
0.0000 1.9702 0.8104 Cu
0.0000 7.6052 2.4311 Cu
1.9316 6.7579 0.8104 Cu
1.9316 2.8175 2.4311 Cu
0.0000 5.5650 0.8104 P
0.0000 4.0104 2.4311 P
1.9316 0.7773 0.8104 P
1.9316 8.7981 2.4311 P
```

Calculated values
- E_form (eV per atom) = 0.00

---

Quick rundown of DOS(E_F), same order as above: 0.383; 0.528; 0.289; 0.299 states/eV per atom